InBi2W, relaxed, DFT PBE-GGA; spin magnetization = 1.26 μB/f.u.; formation energy = 1.003 eV/atom; calculated volume = 151.6 Å³/f.u.; D(E_F) = 8.96 states/eV/cell
1.0
6.725 0.000 0.000
0.000 6.725 0.000
0.000 0.000 13.411
In Bi W
4 8 4
direct
0.000 0.000 0.000
0.000 0.500 0.250
0.500 0.000 0.750
0.500 0.500 0.500
0.197 0.250 0.625
0.250 0.697 0.875
0.250 0.803 0.375
0.303 0.250 0.125
0.697 0.750 0.125
0.750 0.197 0.375
0.750 0.303 0.875
0.803 0.750 0.625
0.000 0.000 0.500
0.000 0.500 0.750
0.500 0.000 0.250
0.500 0.500 0.000

---

Cs3ZrU2Te6, relaxed, DFT PBE-GGA; spin magnetization = 7.00 μB/f.u.; calculated volume = 463.9 Å³/f.u.; raw formation energy = -0.873 eV/atom; D(E_F) = 12.15 states/eV/cell
1.0
3.850 -6.669 0.000
3.850 6.669 0.000
-2.570 0.000 9.035
Cs Zr U Te
3 1 2 6
direct
0.000 0.000 0.000
0.330 0.670 0.000
0.670 0.330 0.000
0.500 0.500 0.500
0.166 0.834 0.500
0.834 0.166 0.500
0.115 0.437 0.309
0.243 0.243 0.692
0.437 0.115 0.309
0.563 0.885 0.691
0.757 0.757 0.308
0.885 0.563 0.691

---

Li6Mg4Al, relaxed, DFT PBE-GGA; spin magnetization = 0.00 μB/f.u.; formation energy = -0.043 eV/atom; calculated volume = 221.1 Å³/f.u.; D(E_F) = 3.33 states/eV/cell
1.0
3.775 -4.155 0.000
3.775 4.155 0.000
-1.872 0.000 7.050
Li Mg Al
6 4 1
direct
0.000 0.000 0.000
0.104 0.482 0.812
0.331 0.694 0.513
0.411 0.411 0.151
0.482 0.104 0.812
0.694 0.331 0.513
0.165 0.165 0.420
0.542 0.921 0.194
0.847 0.847 0.588
0.921 0.542 0.194
0.612 0.612 0.850